(1)
Density functional theory data (PBE) for a relaxed HoCoSi2Ni crystal.

The structure belongs to space group I-4m2 (No. 119); the cell edges are 3.911, 3.911 and 9.608 Å and the angles 90.00°, 90.00° and 90.00°. The asymmetric unit holds Ho at (0.000, 0.000, 0.000), Co at (0.000, 0.500, 0.250), Si at (0.000, 0.000, 0.374) and Ni at (0.000, 0.500, 0.750).

The value obtained for the total magnetic moment is 0.9 μB/f.u. Its uncorrected energy is -6.443 eV per atom.

=====

(2)
Density functional theory data (PBE) for a relaxed Y3Zn11 crystal.

The structure belongs to space group Immm (No. 71); the cell edges are 4.363, 8.863 and 12.871 Å and the angles 90.00°, 90.00° and 90.00°. The asymmetric unit holds Y at (0.000, 0.000, 0.000), Y at (0.000, 0.000, 0.295), Zn at (0.000, 0.185, 0.500), Zn at (0.000, 0.281, 0.139), Zn at (0.000, 0.361, 0.342) and Zn at (0.000, 0.500, 0.000).

The value obtained for the total magnetic moment is 0.0 μB/f.u. Its uncorrected energy is -2.723 eV per atom.

=====

(3)
Density functional theory data (PBE) for a relaxed ZrCu2Ni crystal.

The structure belongs to space group F-43m (No. 216); the cell edges are 6.110, 6.110 and 6.110 Å and the angles 90.00°, 90.00° and 90.00°. The asymmetric unit holds Zr at (0.000, 0.000, 0.000), Cu at (0.000, 0.000, 0.500), Cu at (0.250, 0.250, 0.250) and Ni at (0.250, 0.250, 0.750).

The value obtained for the total magnetic moment is 0.0 μB/f.u. Its uncorrected energy is -5.548 eV per atom.

=====

(4)
Density functional theory data (PBE) for a relaxed K2P2AuN3 crystal.

The structure belongs to space group C2 (No. 5); the cell edges are 9.483, 4.928 and 6.929 Å and the angles 90.00°, 127.37° and 90.00°. The asymmetric unit holds K at (0.099, 0.000, 0.294), P at (0.208, 0.484, 0.101), Au at (0.000, 0.578, 0.500), N at (0.000, 0.439, 0.000) and N at (0.204, 0.653, 0.878).

Its uncorrected energy is -5.291 eV per atom.

=====

(5)
Density functional theory data (PBE) for a relaxed PrErCd2Au4 crystal.

The structure belongs to space group P4/mmm (No. 123); the cell edges are 4.982, 4.982 and 7.039 Å and the angles 90.00°, 90.00° and 90.00°. The asymmetric unit holds Pr at (0.000, 0.000, 0.000), Er at (0.500, 0.500, 0.500), Cd at (0.000, 0.000, 0.500), Cd at (0.500, 0.500, 0.000) and Au at (0.000, 0.500, 0.266).

The value obtained for the total magnetic moment is 0.0 μB/f.u. Its uncorrected energy is -3.681 eV per atom.

=====

(6)
Density functional theory data (PBE) for a relaxed Zr4TlCdN2 crystal.

The structure belongs to space group P-6m2 (No. 187); the cell edges are 3.3267, 3.3267 and 14.8351 Å and the angles 90.00°, 90.00° and 120.00°. The asymmetric unit holds Zr at (0.0000, 0.0000, 0.1669), Zr at (0.6667, 0.3333, 0.3316), Tl at (0.0000, 0.0000, 0.5000), Cd at (0.6667, 0.3333, 0.0000) and N at (0.3333, 0.6667, 0.2483).

The value obtained for the total magnetic moment is 0.0 μB/f.u. Its uncorrected energy is -7.729 eV per atom.

=====

(7)
Density functional theory data (PBE) for a relaxed SmGeAs crystal.

The structure belongs to space group F-43m (No. 216); the cell edges are 6.886, 6.886 and 6.886 Å and the angles 90.00°, 90.00° and 90.00°. The asymmetric unit holds Sm at (0.000, 0.000, 0.000), Ge at (0.250, 0.250, 0.250) and As at (0.250, 0.250, 0.750).

The value obtained for the total magnetic moment is 0.0 μB/f.u. Its uncorrected energy is -4.907 eV per atom.

=====

(8)
Density functional theory data (PBE) for a relaxed Nd4Ge2Br crystal.

The structure belongs to space group I4/mmm (No. 139); the cell edges are 5.324, 5.324 and 15.822 Å and the angles 90.00°, 90.00° and 90.00°. The asymmetric unit holds Nd at (0.000, 0.000, 0.185), Nd at (0.000, 0.500, 0.000), Ge at (0.000, 0.000, 0.372) and Br at (0.000, 0.000, 0.000).

The value obtained for the total magnetic moment is 0.0 μB/f.u. Its uncorrected energy is -4.628 eV per atom.